(1)
Entry from Alexandria: crystalline CaP3 at its relaxed geometry (GGA-PBE).

The structure in CIF format:
```
data_CaP3
_cell_length_a 8.0278
_cell_length_b 8.0278
_cell_length_c 4.3743
_cell_angle_alpha 90.00
_cell_angle_beta 90.00
_cell_angle_gamma 120.00
_space_group_name_H-M_alt 'R -3 m'
_space_group_IT_number 166
_space_group_name_Hall '-R 3 2"'
loop_
_atom_site_label
_atom_site_type_symbol
_atom_site_fract_x
_atom_site_fract_y
_atom_site_fract_z
Ca1 Ca 0.0000 0.0000 0.0000
P1 P 0.0000 0.5000 0.0000
```

**Energy of formation**: 81 meV per atom

(2)
Entry from Alexandria: crystalline Ca2P at its relaxed geometry (GGA-PBE).

The structure in CIF format:
```
data_Ca2P
_cell_length_a 4.2050
_cell_length_b 4.2050
_cell_length_c 6.8961
_cell_angle_alpha 90.00
_cell_angle_beta 90.00
_cell_angle_gamma 120.00
_space_group_name_H-M_alt 'P -3 m 1'
_space_group_IT_number 164
_space_group_name_Hall '-P 3 2"'
loop_
_atom_site_label
_atom_site_type_symbol
_atom_site_fract_x
_atom_site_fract_y
_atom_site_fract_z
Ca1 Ca 0.3333 0.6667 0.2113
P1 P 0.0000 0.0000 0.0000
```

**Energy of formation**: -850 meV per atom

(3)
Entry from Alexandria: crystalline Ca3P2 at its relaxed geometry (GGA-PBE).

The structure in CIF format:
```
data_Ca3P2
_cell_length_a 16.193
_cell_length_b 4.685
_cell_length_c 10.720
_cell_angle_alpha 90.00
_cell_angle_beta 100.76
_cell_angle_gamma 90.00
_space_group_name_H-M_alt 'C 1 2/m 1'
_space_group_IT_number 12
_space_group_name_Hall '-C 2y'
loop_
_atom_site_label
_atom_site_type_symbol
_atom_site_fract_x
_atom_site_fract_y
_atom_site_fract_z
Ca1 Ca 0.000 0.000 0.000
Ca2 Ca 0.002 0.000 0.665
Ca3 Ca 0.165 0.500 0.668
Ca4 Ca 0.166 0.500 0.333
Ca5 Ca 0.169 0.500 0.998
P1 P 0.021 0.500 0.812
P2 P 0.146 0.000 0.520
P3 P 0.187 0.000 0.146
```

**Energy of formation**: -1116 meV per atom
**Distance to the lowest polymorph of the same formula**: 17.1 meV per atom

Ordered VASP energy results: -4.48 -3.99 -4.48; unit eV/atom.